# 1
Computed, not measured: a relaxed BeSe crystal at the PBE level of DFT.

Properties
uncorrected formation energy = -0.5936 eV per atom
electronic total energy = -4.199 eV/atom
ΔE to the lowest computed polymorph = 0.422 eV/f.u.
crystal system = triclinic
spin magnetization = 0.00 μB/cell
ρ = 3.54 Mg/m³

Geometry as POSCAR:
```
BeSe
1.0
-3.451 -0.646 -0.604
-0.610 -2.112 -2.804
-0.302 -6.215 3.613
Se Be
2 2
direct
0.526 0.264 0.023 Se
0.088 0.843 0.607 Se
0.184 0.926 0.923 Be
0.716 0.468 0.706 Be
```


# 2
Computed, not measured: a relaxed BeSe crystal at the PBE level of DFT.

Properties
uncorrected formation energy = -0.6240 eV per atom
electronic total energy = -4.229 eV/atom
ΔE to the lowest computed polymorph = 0.361 eV/f.u.
crystal system = cubic
spin magnetization = 0.00 μB/cell
ρ = 3.34 Mg/m³

Geometry as POSCAR:
```
BeSe
1.0
7.044 0.000 0.000
0.000 7.044 0.000
0.000 0.000 7.044
Be Se
8 8
direct
0.851 0.149 0.851 Be
0.149 0.851 0.851 Be
0.649 0.351 0.351 Be
0.351 0.649 0.351 Be
0.851 0.851 0.149 Be
0.351 0.351 0.649 Be
0.149 0.149 0.149 Be
0.649 0.649 0.649 Be
0.829 0.171 0.171 Se
0.671 0.671 0.329 Se
0.671 0.329 0.671 Se
0.329 0.329 0.329 Se
0.329 0.671 0.671 Se
0.171 0.829 0.171 Se
0.829 0.829 0.829 Se
0.171 0.171 0.829 Se
```


# 3
Computed, not measured: a relaxed Be5Se3 crystal at the PBE level of DFT.

Properties
uncorrected formation energy = -0.2371 eV per atom
electronic total energy = -3.873 eV/atom
ΔE to the lowest computed polymorph = 0.000 eV/f.u.
crystal system = monoclinic
spin magnetization = 0.00 μB/cell
ρ = 3.67 Mg/m³

Geometry as POSCAR:
```
Be5Se3
1.0
-6.565 -0.570 3.584
4.920 -5.237 -2.056
3.652 3.490 4.510
Se Be
6 10
direct
0.202 0.588 0.889 Se
0.813 0.199 0.111 Se
0.664 0.906 0.500 Se
0.186 0.051 0.889 Se
0.335 0.344 0.500 Se
0.797 0.662 0.111 Se
0.633 0.316 0.500 Be
0.890 0.016 0.281 Be
0.366 0.934 0.500 Be
0.497 0.962 0.219 Be
0.221 0.007 0.219 Be
0.082 0.707 0.665 Be
0.918 0.543 0.335 Be
0.109 0.234 0.719 Be
0.502 0.288 0.781 Be
0.779 0.243 0.781 Be
```


# 4
Computed, not measured: a relaxed BeSe crystal at the PBE level of DFT.

Properties
uncorrected formation energy = -0.3308 eV per atom
electronic total energy = -3.936 eV/atom
ΔE to the lowest computed polymorph = 0.947 eV/f.u.
crystal system = monoclinic
spin magnetization = 0.00 μB/cell
ρ = 2.98 Mg/m³

Geometry as POSCAR:
```
BeSe
1.0
-2.631 -4.798 2.706
0.725 -5.671 2.139
1.223 -0.365 7.799
Be Se
3 3
direct
0.162 0.162 0.222 Be
0.519 0.519 0.075 Be
0.665 0.665 0.438 Be
0.028 0.028 0.514 Se
0.136 0.136 0.968 Se
0.325 0.325 0.282 Se
```


# 5
Computed, not measured: a relaxed BeSe crystal at the PBE level of DFT.

Properties
uncorrected formation energy = -0.4767 eV per atom
electronic total energy = -4.082 eV/atom
ΔE to the lowest computed polymorph = 0.656 eV/f.u.
crystal system = monoclinic
spin magnetization = 0.00 μB/cell
ρ = 2.64 Mg/m³

Geometry as POSCAR:
```
BeSe
1.0
-0.619 -2.570 2.544
-0.833 -3.174 -3.409
6.001 -2.264 -0.827
Se Be
2 2
direct
0.250 0.202 0.772 Se
0.750 0.798 0.228 Se
0.750 0.014 0.901 Be
0.250 0.986 0.099 Be
```


# 6
Computed, not measured: a relaxed BeSe crystal at the PBE level of DFT.

Properties
uncorrected formation energy = -0.7344 eV per atom
electronic total energy = -4.340 eV/atom
ΔE to the lowest computed polymorph = 0.140 eV/f.u.
crystal system = triclinic
spin magnetization = 0.00 μB/cell
ρ = 3.45 Mg/m³

Geometry as POSCAR:
```
BeSe
1.0
-2.905 0.698 -2.114
-1.303 -2.590 -2.233
-4.527 -2.456 5.165
Se Be
2 2
direct
0.170 0.176 0.790 Se
0.830 0.824 0.210 Se
0.835 0.838 0.893 Be
0.165 0.162 0.107 Be
```


# 7
Computed, not measured: a relaxed BeSe crystal at the PBE level of DFT.

Properties
uncorrected formation energy = -0.5813 eV per atom
electronic total energy = -4.187 eV/atom
ΔE to the lowest computed polymorph = 0.446 eV/f.u.
crystal system = trigonal
spin magnetization = 0.00 μB/cell
ρ = 2.45 Mg/m³

Geometry as POSCAR:
```
BeSe
1.0
-2.609 9.920 1.960
-4.892 9.190 -0.818
-5.821 8.269 2.611
Be Se
2 2
direct
0.790 0.790 0.790 Be
0.960 0.960 0.960 Be
0.293 0.293 0.293 Se
0.457 0.457 0.457 Se
```


# 8
Computed, not measured: a relaxed Be3Se crystal at the PBE level of DFT.

Properties
uncorrected formation energy = 0.4735 eV per atom
electronic total energy = -3.192 eV/atom
ΔE to the lowest computed polymorph = 1.686 eV/f.u.
crystal system = orthorhombic
spin magnetization = 0.00 μB/cell
ρ = 3.62 Mg/m³

Geometry as POSCAR:
```
Be3Se
1.0
4.089 0.010 0.000
-1.667 3.733 0.000
0.000 0.000 3.179
Be Se
3 1
direct
0.000 0.500 0.500 Be
0.500 0.500 0.000 Be
0.500 0.000 0.500 Be
0.000 0.000 0.000 Se
```


# 9
Computed, not measured: a relaxed Be3Se crystal at the PBE level of DFT.

Properties
uncorrected formation energy = 0.4539 eV per atom
electronic total energy = -3.212 eV/atom
ΔE to the lowest computed polymorph = 1.607 eV/f.u.
crystal system = tetragonal
spin magnetization = 0.00 μB/cell
ρ = 2.97 Mg/m³

Geometry as POSCAR:
```
Be3Se
1.0
2.503 0.011 0.000
-0.011 2.503 0.000
0.000 0.000 9.456
Be Se
3 1
direct
0.000 0.000 0.879 Be
0.500 0.500 0.750 Be
0.000 0.000 0.621 Be
0.500 0.500 0.250 Se
```


# 10
Computed, not measured: a relaxed BeSe crystal at the PBE level of DFT.

Properties
uncorrected formation energy = -0.7119 eV per atom
electronic total energy = -4.317 eV/atom
ΔE to the lowest computed polymorph = 0.185 eV/f.u.
crystal system = tetragonal
spin magnetization = 0.00 μB/cell
ρ = 3.30 Mg/m³

Geometry as POSCAR:
```
BeSe
1.0
-3.387 1.150 0.666
-0.926 -0.737 -3.441
-1.751 -6.200 1.799
Se Be
2 2
direct
0.000 0.500 0.702 Se
0.500 0.000 0.298 Se
0.000 0.000 0.500 Be
0.500 0.500 0.500 Be
```


# 11
Computed, not measured: a relaxed BeSe crystal at the PBE level of DFT.

Properties
uncorrected formation energy = -0.7494 eV per atom
electronic total energy = -4.355 eV/atom
ΔE to the lowest computed polymorph = 0.110 eV/f.u.
crystal system = tetragonal
spin magnetization = 0.00 μB/cell
ρ = 4.00 Mg/m³

Geometry as POSCAR:
```
BeSe
1.0
6.298 0.000 0.000
0.000 6.298 0.000
0.000 0.000 3.678
Se Be
4 4
direct
0.310 0.690 0.500 Se
0.690 0.310 0.500 Se
0.810 0.810 0.000 Se
0.190 0.190 0.000 Se
0.330 0.330 0.500 Be
0.830 0.170 0.000 Be
0.670 0.670 0.500 Be
0.170 0.830 0.000 Be
```


# 12
Computed, not measured: a relaxed BeSe crystal at the PBE level of DFT.

Properties
uncorrected formation energy = 0.0605 eV per atom
electronic total energy = -3.545 eV/atom
ΔE to the lowest computed polymorph = 1.730 eV/f.u.
crystal system = hexagonal
spin magnetization = 0.00 μB/cell
ρ = 4.63 Mg/m³

Geometry as POSCAR:
```
BeSe
1.0
3.437 0.000 0.000
-1.718 2.976 0.000
0.000 0.000 3.085
Se Be
1 1
direct
0.667 0.333 0.500 Se
0.000 0.000 0.000 Be
```